Model P:
PaZn2Tc | GGA-PBE | relaxed

Calculated values
calculated volume: 144.6 Å³ per cell
symmetry: No. 11

abc: 4.730 6.484 4.929
angles: 90.00 106.93 90.00
Fractional positions:
Pa1 0.041 0.250 0.135
Pa2 0.959 0.750 0.865
Zn1 0.424 0.050 0.728
Zn2 0.424 0.450 0.728
Zn3 0.576 0.550 0.272
Zn4 0.576 0.950 0.272
Tc1 0.098 0.750 0.384
Tc2 0.902 0.250 0.616

Model Q:
PaZn2Tc | GGA-PBE | relaxed

Calculated values
calculated volume: 71.3 Å³ per cell
symmetry: No. 225

abc: 4.654 4.654 4.654
angles: 60.00 60.00 60.00
Fractional positions:
Pa1 0.000 0.000 0.000
Zn1 0.250 0.250 0.250
Zn2 0.750 0.750 0.750
Tc1 0.500 0.500 0.500

Verdict on stability: model P comes out on top.

Model P:
PaZnTc | GGA-PBE | relaxed

Calculated values
calculated volume: 121.8 Å³ per cell
symmetry: No. 129

abc: 3.679 3.679 8.998
angles: 90.00 90.00 90.00
Fractional positions:
Pa1 0.250 0.250 0.211
Pa2 0.750 0.750 0.789
Zn1 0.250 0.250 0.564
Zn2 0.750 0.750 0.436
Tc1 0.250 0.250 0.856
Tc2 0.750 0.750 0.144

Model Q:
PaZnTc | GGA-PBE | relaxed

Calculated values
calculated volume: 119.8 Å³ per cell
symmetry: No. 11

abc: 5.073 4.608 5.159
angles: 90.00 96.38 90.00
Fractional positions:
Pa1 0.208 0.250 0.379
Pa2 0.792 0.750 0.621
Zn1 0.359 0.750 0.003
Zn2 0.641 0.250 0.997
Tc1 0.122 0.250 0.831
Tc2 0.878 0.750 0.169

Verdict on stability: model Q comes out on top.